Entry 1:
Entry from Alexandria: a relaxed MnFeAu2N crystal (PBE).

Computed properties:
Crystal system: tetragonal
ΔE_f (raw), eV/atom: 0.53
Symmetry: P4/mmm, No. 123
Calculated volume, Å³ per cell: 84.51

abc: 4.9958 3.3860 4.9958
angles: 90.00 90.00 90.00
Last column: magnetic moment on the atom in μB.
Atoms (fractional coordinates):
Au1 0.5000 0.0000 0.0000  0.01
Mn1 0.5000 0.5000 0.5000  4.25
Fe1 0.0000 0.0000 0.0000  1.10
Au2 0.0000 0.0000 0.5000  0.06
N1 0.0000 0.5000 0.0000  -0.07

---

Entry 2:
Entry from Alexandria: a relaxed Mn2FePd5Au crystal (PBE).

Computed properties:
Crystal system: tetragonal
Symmetry: I4/mcm, No. 140
Calculated volume, Å³ per cell: 276.64
E_form, eV/atom: 0.1971

abc: 6.0051 6.0051 8.7681
angles: 110.03 110.03 90.00
Last column: magnetic moment on the atom in μB.
Atoms (fractional coordinates):
Pd1 0.8982 0.3982 0.2679  0.14
Fe1 0.7500 0.7500 0.5000  3.30
Pd2 0.6018 0.6303 0.7321  0.14
Mn1 0.8910 0.6090 0.0000  1.20
Mn2 0.3910 0.8910 0.0000  1.20
Mn3 0.6090 0.1090 0.0000  1.20
Mn4 0.1090 0.3910 0.0000  1.20
Pd3 0.6303 0.1303 0.7321  0.14
Pd4 0.5000 0.5000 0.0000  0.07
Pd5 0.3697 0.8697 0.2679  0.14
Pd6 0.1303 0.1018 0.7321  0.14
Pd7 0.1018 0.6018 0.7321  0.14
Pd8 0.3982 0.3697 0.2679  0.14
Pd9 0.8697 0.8982 0.2679  0.14
Au1 0.2500 0.7500 0.5000  0.03
Fe2 0.2500 0.2500 0.5000  3.30
Au2 0.7500 0.2500 0.5000  0.03
Pd10 0.0000 0.0000 0.0000  0.07

---

It is found that the magnetic moment values, taken in the order of the records, are 5.64, 6.39 μB per formula unit.